A geometry-optimized SnIrSN2 structure. Source: Alexandria via LeMat-Bulk, functional PBE.

E_form (uncorrected) (eV/atom): 1.8907
Space group: P4/mmm (123)
Polymorph energy (0 for the lowest one) (eV/atom): 1.1900

Lattice parameters (Å, degrees): 3.981 3.981 5.376 90.00 90.00 90.00
Element x y z (fractional)
Sn  0.000  0.000  0.000
Ir  0.500  0.500  0.500
S  0.000  0.000  0.500
N  0.000  0.500  0.000
N  0.500  0.000  0.000